VASP calculation (PBE) on crystalline La3PbAu5 at its relaxed geometry.

Summary:
* DFT formation energy: -0.76 eV per atom
* total energy: -83.4 eV per cell
* size of the total moment: 0.00 μB per cell

POSCAR file:
```
La3PbAu5
1.0
6.456 0.000 0.000
0.000 7.849 -4.532
0.000 0.000 9.063
Au La Pb
10 6 2
Cartesian
4.842 5.363 3.097
1.614 0.000 6.193
4.842 2.485 -1.435
4.842 7.849 -1.661
3.228 5.233 0.000
3.228 2.616 4.532
1.614 2.486 1.435
0.000 5.233 0.000
0.000 2.616 4.532
1.614 5.364 -3.097
1.614 0.000 3.198
1.614 5.079 2.932
1.614 2.770 -1.599
4.842 5.079 -2.932
4.842 2.770 1.599
4.842 7.849 1.334
3.228 0.000 0.000
0.000 0.000 0.000
```

***

VASP calculation (PBE) on crystalline La2PbAu at its relaxed geometry.

Summary:
* DFT formation energy: -0.53 eV per atom
* total energy: -19.0 eV per cell
* size of the total moment: 0.00 μB per cell

POSCAR file:
```
La2PbAu
1.0
-2.667 8.150 1.979
-2.457 6.194 5.749
1.068 7.778 3.976
Pb Au La
1 1 2
Cartesian
-1.014 5.531 2.926
-3.042 16.592 8.778
-1.995 10.882 5.757
-0.033 0.179 0.095
```

***

VASP calculation (PBE) on crystalline LaPb3Au at its relaxed geometry.

Summary:
* DFT formation energy: 0.04 eV per atom
* energy above the lowest structure with this stoichiometry: 0.000 eV per atom
* total energy: -19.1 eV per cell
* size of the total moment: 0.00 μB per cell

POSCAR file:
```
LaPb3Au
1.0
5.552 0.000 0.000
0.000 5.552 0.000
0.000 0.000 5.552
Pb La Au
3 1 1
Cartesian
0.000 2.776 0.000
0.000 0.000 2.776
2.776 0.000 0.000
2.776 2.776 2.776
0.000 0.000 0.000
```

***

> DFT formation energy of number 2 (La2PbAu)?

-0.53 eV per atom

***

> What is the size of the total moment in the third record?

0.00 μB per cell

***

> Which formula does entry 2 have?

La2PbAu

***

> Number 3 is which compound?

LaPb3Au